SmTl2SbTe4 after structural relaxation. Source: the Alexandria database, functional GGA-PBE.

Cell and atoms, written as POSCAR:
```
SmTl2SbTe4
1.0
-4.202 1.540 0.552
-2.636 -5.358 -5.118
-0.246 -3.445 7.738
Sm Tl Sb Te
1 2 1 4
Cartesian
-3.419 -1.909 -2.283
-2.224 -0.952 4.145
-1.441 -4.401 1.310
0.000 0.000 0.000
-2.772 -1.226 0.735
-4.311 -6.036 2.437
-0.869 -4.075 4.751
-2.013 -4.727 -2.132
```

Calculated values
**Fermi-level density of states**: 0.007 states/eV/atom
**Space group**: P2/m (10)
**Formation energy from raw total energies**: -5.110 eV per formula unit

***

MnBBrN2 after structural relaxation. Source: the Alexandria database, functional GGA-PBE.

Cell and atoms, written as POSCAR:
```
MnBBrN2
1.0
3.538 0.000 0.000
0.000 4.930 0.000
0.000 0.000 3.538
B Mn Br N
1 1 1 2
Cartesian
0.000 2.465 0.000
0.000 0.000 0.000
1.769 2.465 1.769
0.000 0.000 1.769
1.769 0.000 0.000
```

Calculated values
**Fermi-level density of states**: 0.559 states/eV/atom
**Space group**: P4/mmm (123)
**Formation energy from raw total energies**: 5.743 eV per formula unit